Pr2Sn7Pd12, relaxed, DFT PBE; mass density = 9.461 Mg/m³; space group = No. 147; DFT formation energy = -0.624 eV per atom; E = -5.381 eV per atom; total moment = 0.0 μB per cell
1.0
10.8362 0.0000 0.0000
-5.4181 9.3844 0.0000
0.0000 0.0000 4.1246
Pr Sn Pd
2 7 12
Cartesian
0.0000 6.2563 0.9905
5.4181 3.1281 3.1341
0.0000 0.0000 2.0623
-2.5980 6.6512 3.0548
0.9569 3.8089 3.0548
3.7770 1.0757 1.0698
1.6410 8.3087 3.0548
4.4611 5.5755 1.0698
8.0160 2.7332 1.0698
-1.7132 4.1257 3.1141
-0.1413 2.4345 0.9757
-3.2391 8.2895 0.9757
2.0377 1.3397 3.1490
-0.9885 8.8052 3.1141
2.7163 3.5465 1.0105
2.7017 5.8379 3.1141
6.4066 0.5792 1.0105
3.3804 8.0447 0.9757
8.6571 1.0948 3.1490
5.5594 6.9499 3.1490
7.1313 5.2587 1.0105